The following is a PBE calculation of a relaxed structure of GaHPd2, from Alexandria.

Calculated values
The volume is 49 Å³/f.u. As for the excess energy over the best structure of this formula in the dataset: 28 meV/atom.

POSCAR file:
```
GaHPd2
1.0
1.491 0.861 6.310
-1.491 0.861 6.310
0.000 -1.721 6.310
Ga H Pd
1 1 2
direct
0.000 0.000 0.000
0.826 0.826 0.826
0.231 0.231 0.231
0.438 0.438 0.438
```